Entry from Alexandria: a relaxed structure of Tb5Pr3Th2 (GGA-PBE).

Structure (CIF):
```
data_Tb5Pr3Th2
_symmetry_space_group_name_H-M 'P 1'
_symmetry_Int_Tables_number 1
_symmetry_space_group_name_Hall 'P 1'
_cell_length_a 8.989
_cell_length_b 8.971
_cell_length_c 11.313
_cell_angle_alpha 120.15
_cell_angle_beta 120.19
_cell_angle_gamma 74.55
loop_
_atom_site_label
_atom_site_type_symbol
_atom_site_fract_x
_atom_site_fract_y
_atom_site_fract_z
Tb1 Tb 0.280 0.530 0.060
Tb2 Tb 0.720 0.470 0.940
Tb3 Tb 0.031 0.781 0.562
Tb4 Tb 0.533 0.283 0.565
Tb5 Tb 0.969 0.219 0.438
Tb6 Tb 0.467 0.717 0.435
Tb7 Tb 0.865 0.614 0.730
Tb8 Tb 0.135 0.386 0.270
Tb9 Tb 0.365 0.117 0.730
Tb10 Tb 0.635 0.883 0.270
Pr1 Pr 0.223 0.973 0.946
Pr2 Pr 0.777 0.027 0.054
Pr3 Pr 0.733 0.484 0.254
Pr4 Pr 0.267 0.516 0.746
Pr5 Pr 0.021 0.770 0.254
Pr6 Pr 0.979 0.230 0.746
Th1 Th 0.757 0.007 0.741
Th2 Th 0.243 0.993 0.259
Th3 Th 0.485 0.734 0.741
Th4 Th 0.515 0.266 0.259
```

***

# Tb2PrTh | Alexandria | GGA-PBE | relaxed
data_Tb2PrTh
_symmetry_space_group_name_H-M 'P 1'
_symmetry_Int_Tables_number 1
_symmetry_space_group_name_Hall 'P 1'
_cell_length_a 3.611
_cell_length_b 3.611
_cell_length_c 11.838
_cell_angle_alpha 81.23
_cell_angle_beta 81.23
_cell_angle_gamma 60.00
loop_
_atom_site_label
_atom_site_type_symbol
_atom_site_fract_x
_atom_site_fract_y
_atom_site_fract_z
Pr1 Pr 0.500 0.500 0.500
Tb1 Tb 0.253 0.253 0.242
Tb2 Tb 0.747 0.747 0.758
Th1 Th 0.000 0.000 0.000
# Energy above the most stable polymorph in this dataset (eV per atom): 0.015

***

# Tb2PrTh | Alexandria | GGA-PBE | relaxed
data_Tb2PrTh
_symmetry_space_group_name_H-M 'P 1'
_symmetry_Int_Tables_number 1
_symmetry_space_group_name_Hall 'P 1'
_cell_length_a 5.724
_cell_length_b 5.724
_cell_length_c 5.724
_cell_angle_alpha 60.00
_cell_angle_beta 60.00
_cell_angle_gamma 60.00
loop_
_atom_site_label
_atom_site_type_symbol
_atom_site_fract_x
_atom_site_fract_y
_atom_site_fract_z
Pr1 Pr 0.500 0.500 0.500
Tb1 Tb 0.250 0.250 0.250
Tb2 Tb 0.750 0.750 0.750
Th1 Th 0.000 0.000 0.000
# Energy above the most stable polymorph in this dataset (eV per atom): 0.152

***

Entry from Alexandria: a relaxed structure of Tb5PrTh4 (GGA-PBE).

Structure (CIF):
```
data_Tb5PrTh4
_symmetry_space_group_name_H-M 'P 1'
_symmetry_Int_Tables_number 1
_symmetry_space_group_name_Hall 'P 1'
_cell_length_a 6.168
_cell_length_b 8.016
_cell_length_c 8.016
_cell_angle_alpha 81.49
_cell_angle_beta 67.37
_cell_angle_gamma 67.37
loop_
_atom_site_label
_atom_site_type_symbol
_atom_site_fract_x
_atom_site_fract_y
_atom_site_fract_z
Tb1 Tb 0.376 0.682 0.682
Tb2 Tb 0.058 0.318 0.682
Tb3 Tb 0.057 0.682 0.318
Tb4 Tb 0.739 0.318 0.318
Tb5 Tb 0.273 0.000 0.000
Pr1 Pr 0.819 0.000 0.000
Th1 Th 0.727 0.632 0.999
Th2 Th 0.726 0.001 0.632
Th3 Th 0.358 0.999 0.368
Th4 Th 0.357 0.368 0.001
```

***

The ΔE_f results, record by record, are as follows: 2.04, 0.06, 0.61, 3.32 eV per formula unit.